VASP calculation (PBE-GGA) on a relaxed structure of HoScAlPd.

## Properties
Size of the total moment in μB per formula unit: 0.00
Calculated volume in Å³ per cell: 332.7
ΔH_f (0 K) in kJ/mol of atoms: -57.01
DFT total energy in eV per atom: -5.552

Cell lengths 6.9292, 6.9292, 6.9292 Å; angles 90.00, 90.00, 90.00 degrees
Space group F-43m (No. 216)
Symmetry-distinct sites (fractional):
Ho  0.0000  0.0000  0.0000
Sc  0.0000  0.0000  0.5000
Al  0.2500  0.2500  0.7500
Pd  0.2500  0.2500  0.2500